An optimized crystal structure of Li2SbAu4. Source: Alexandria via LeMat-Bulk, functional PBE.

Summary:
Volume   26.771 Å³ per atom
Energy above the lowest structure with this stoichiometry   0.421 eV/atom
Raw formation energy   0.813 eV/f.u.

Unit cell a=5.230 b=5.230 c=13.704 alpha=90.00 beta=90.00 gamma=90.00
Positions (direct):
Li 0.000 0.000 0.110
Li 0.000 0.000 0.890
Li 0.500 0.500 0.390
Li 0.500 0.500 0.610
Sb 0.000 0.000 0.500
Sb 0.500 0.500 0.000
Au 0.000 0.000 0.302
Au 0.000 0.000 0.698
Au 0.000 0.500 0.000
Au 0.000 0.500 0.500
Au 0.500 0.000 0.000
Au 0.500 0.000 0.500
Au 0.500 0.500 0.198
Au 0.500 0.500 0.802

---

An optimized crystal structure of Li2SbAu8. Source: Alexandria via LeMat-Bulk, functional PBE.

Summary:
Volume   17.929 Å³ per atom
Raw formation energy   -2.323 eV/f.u.

Unit cell a=7.768 b=7.768 c=6.545 alpha=104.69 beta=104.69 gamma=31.17
Positions (direct):
Li 0.223 0.223 0.149
Li 0.777 0.777 0.851
Sb 0.500 0.500 0.500
Au 0.048 0.048 0.219
Au 0.149 0.149 0.709
Au 0.317 0.317 0.590
Au 0.398 0.398 0.039
Au 0.602 0.602 0.961
Au 0.683 0.683 0.410
Au 0.851 0.851 0.291
Au 0.952 0.952 0.781

---

An optimized crystal structure of Li3Sb2Au. Source: Alexandria via LeMat-Bulk, functional PBE.

Summary:
Volume   20.726 Å³ per atom
Energy above the lowest structure with this stoichiometry   0.000 eV/atom
Raw formation energy   -2.588 eV/f.u.

Unit cell a=6.826 b=6.826 c=5.743 alpha=95.82 beta=95.82 gamma=69.47
Positions (direct):
Li 0.059 0.941 0.750
Li 0.214 0.367 0.974
Li 0.367 0.214 0.474
Li 0.633 0.786 0.526
Li 0.786 0.633 0.026
Li 0.941 0.059 0.250
Sb 0.107 0.626 0.390
Sb 0.374 0.893 0.110
Sb 0.626 0.107 0.890
Sb 0.893 0.374 0.610
Au 0.433 0.567 0.750
Au 0.567 0.433 0.250

---

An optimized crystal structure of LiSbAu6. Source: Alexandria via LeMat-Bulk, functional PBE.

Summary:
Volume   18.473 Å³ per atom
Energy above the lowest structure with this stoichiometry   0.000 eV/atom
Raw formation energy   -1.156 eV/f.u.

Unit cell a=7.281 b=6.711 c=5.085 alpha=74.81 beta=62.82 gamma=42.37
Positions (direct):
Li 0.000 0.000 0.000
Sb 0.500 0.500 0.500
Au 0.125 0.125 0.375
Au 0.242 0.242 0.758
Au 0.375 0.375 0.125
Au 0.625 0.625 0.875
Au 0.758 0.758 0.242
Au 0.875 0.875 0.625

---

An optimized crystal structure of LiSb2Au. Source: Alexandria via LeMat-Bulk, functional PBE.

Summary:
Volume   22.627 Å³ per atom
Energy above the lowest structure with this stoichiometry   0.136 eV/atom
Raw formation energy   -0.426 eV/f.u.

Unit cell a=3.850 b=3.850 c=6.107 alpha=90.00 beta=90.00 gamma=90.00
Positions (direct):
Li 0.000 0.000 0.000
Sb 0.500 0.500 0.263
Sb 0.500 0.500 0.737
Au 0.000 0.000 0.500

---

An optimized crystal structure of LiSb2Au. Source: Alexandria via LeMat-Bulk, functional PBE.

Summary:
Volume   24.289 Å³ per atom
Energy above the lowest structure with this stoichiometry   0.048 eV/atom
Raw formation energy   -0.776 eV/f.u.

Unit cell a=4.466 b=4.466 c=16.878 alpha=90.00 beta=90.00 gamma=120.00
Positions (direct):
Li 0.000 0.000 0.000
Li 0.333 0.667 0.667
Li 0.667 0.333 0.333
Sb 0.000 0.000 0.580
Sb 0.000 0.000 0.755
Sb 0.333 0.667 0.247
Sb 0.333 0.667 0.422
Sb 0.667 0.333 0.089
Sb 0.667 0.333 0.913
Au 0.000 0.000 0.166
Au 0.333 0.667 0.833
Au 0.667 0.333 0.499